Record 1
Below is an optimized crystal structure of Tl2In5Ag3, with properties calculated at the PBE level.

Cell and atoms, written as CIF:
```
data_Tl2In5Ag3
_chemical_formula_sum 'Tl8 In20 Ag12'
_cell_length_a 4.586
_cell_length_b 28.447
_cell_length_c 7.748
_cell_angle_alpha 90.00
_cell_angle_beta 90.00
_cell_angle_gamma 90.00
_space_group_name_H-M_alt 'C m c 21'
_space_group_IT_number 36
loop_
_space_group_symop_operation_xyz
'x,y,z'
'-x,-y,z+1/2'
'-x,y,z'
'x,-y,z+1/2'
'x+1/2,y+1/2,z'
'-x+1/2,-y+1/2,z+1/2'
'-x+1/2,y+1/2,z'
'x+1/2,-y+1/2,z+1/2'
loop_
_atom_site_label
_atom_site_type_symbol
_atom_site_fract_x
_atom_site_fract_y
_atom_site_fract_z
Tl1 Tl 0.000 0.022 0.000
Tl2 Tl 0.000 0.325 0.920
In1 In 0.000 0.099 0.615
In2 In 0.000 0.205 0.713
In3 In 0.000 0.207 0.126
In4 In 0.000 0.374 0.460
In5 In 0.000 0.446 0.835
Ag1 Ag 0.000 0.109 0.220
Ag2 Ag 0.000 0.270 0.419
Ag3 Ag 0.000 0.456 0.222
```

Calculated values
volume: 1010.8 Å³ per cell
spin magnetization: 0.0000 μB/atom
energy relative to the elements: 0.0272 eV per atom

---

Record 2
Below is an optimized crystal structure of KSnAs, with properties calculated at the PBE level.

Cell and atoms, written as CIF:
```
data_KSnAs
_chemical_formula_sum 'K3 Sn3 As3'
_cell_length_a 4.1425
_cell_length_b 4.1425
_cell_length_c 19.7503
_cell_angle_alpha 90.00
_cell_angle_beta 90.00
_cell_angle_gamma 120.00
_space_group_name_H-M_alt 'R 3 m'
_space_group_IT_number 160
_space_group_name_Hall 'R 3 -2"'
loop_
_atom_site_label
_atom_site_type_symbol
_atom_site_fract_x
_atom_site_fract_y
_atom_site_fract_z
K1 K 0.0000 0.0000 0.0000
Sn1 Sn 0.0000 0.0000 0.1912
As1 As 0.0000 0.0000 0.7891
```

Calculated values
volume: 293.5 Å³ per cell
spin magnetization: 0.0000 μB/atom
energy relative to the elements: -0.3955 eV per atom

---

Record 3
Below is an optimized crystal structure of AcBi2Ir, with properties calculated at the PBE level.

Cell and atoms, written as CIF:
```
data_AcBi2Ir
_chemical_formula_sum 'Ac1 Bi2 Ir1'
_cell_length_a 3.624
_cell_length_b 3.624
_cell_length_c 8.355
_cell_angle_alpha 90.00
_cell_angle_beta 90.00
_cell_angle_gamma 90.00
_space_group_name_H-M_alt 'P 4/m m m'
_space_group_IT_number 123
_space_group_name_Hall '-P 4 2'
loop_
_atom_site_label
_atom_site_type_symbol
_atom_site_fract_x
_atom_site_fract_y
_atom_site_fract_z
Ac1 Ac 0.000 0.000 0.000
Bi1 Bi 0.500 0.500 0.309
Ir1 Ir 0.000 0.000 0.500
```

Calculated values
polymorph energy (0 for the lowest one): 0.156 eV/atom
volume: 109.7 Å³ per cell
spin magnetization: 0.0000 μB/atom
energy relative to the elements: 0.0598 eV per atom

---

Record 4
Below is an optimized crystal structure of YZn7Cu5, with properties calculated at the PBE level.

Cell and atoms, written as CIF:
```
data_YZn7Cu5
_chemical_formula_sum 'Y2 Zn14 Cu10'
_cell_length_a 4.973
_cell_length_b 8.802
_cell_length_c 8.717
_cell_angle_alpha 90.00
_cell_angle_beta 90.00
_cell_angle_gamma 90.00
_space_group_name_H-M_alt 'I m m 2'
_space_group_IT_number 44
loop_
_space_group_symop_operation_xyz
'x,y,z'
'-x,-y,z'
'-x,y,z'
'x,-y,z'
'x+1/2,y+1/2,z+1/2'
'-x+1/2,-y+1/2,z+1/2'
'-x+1/2,y+1/2,z+1/2'
'x+1/2,-y+1/2,z+1/2'
loop_
_atom_site_label
_atom_site_type_symbol
_atom_site_fract_x
_atom_site_fract_y
_atom_site_fract_z
Y1 Y 0.000 0.000 0.000
Zn1 Zn 0.000 0.000 0.351
Zn2 Zn 0.000 0.000 0.656
Zn3 Zn 0.000 0.288 0.506
Zn4 Zn 0.000 0.349 0.013
Zn5 Zn 0.000 0.500 0.726
Cu1 Cu 0.000 0.500 0.287
Cu2 Cu 0.249 0.250 0.759
```

Calculated values
volume: 381.6 Å³ per cell
spin magnetization: 0.0000 μB/atom
energy relative to the elements: -0.1891 eV per atom

---

Record 5
Below is an optimized crystal structure of ScCd2Fe, with properties calculated at the PBE level.

Cell and atoms, written as CIF:
```
data_ScCd2Fe
_chemical_formula_sum 'Sc1 Cd2 Fe1'
_cell_length_a 3.100
_cell_length_b 4.214
_cell_length_c 6.158
_cell_angle_alpha 90.00
_cell_angle_beta 104.48
_cell_angle_gamma 90.00
_space_group_name_H-M_alt 'P 1 m 1'
_space_group_IT_number 6
loop_
_space_group_symop_operation_xyz
'x,y,z'
'x,-y,z'
loop_
_atom_site_label
_atom_site_type_symbol
_atom_site_fract_x
_atom_site_fract_y
_atom_site_fract_z
Sc1 Sc 0.000 0.000 0.000
Cd1 Cd 0.272 0.000 0.543
Cd2 Cd 0.649 0.500 0.299
Fe1 Fe 0.414 0.500 0.828
```

Calculated values
volume: 77.9 Å³ per cell
spin magnetization: 0.4778 μB/atom
energy relative to the elements: 0.0786 eV per atom

---

Record 6
Below is an optimized crystal structure of Tl2Cu2Te2Se, with properties calculated at the PBE level.

Cell and atoms, written as CIF:
```
data_Tl2Cu2Te2Se
_chemical_formula_sum 'Tl2 Cu2 Te2 Se1'
_cell_length_a 4.031
_cell_length_b 6.714
_cell_length_c 8.079
_cell_angle_alpha 113.63
_cell_angle_beta 90.36
_cell_angle_gamma 106.59
_space_group_name_H-M_alt 'P -1'
_space_group_IT_number 2
loop_
_space_group_symop_operation_xyz
'x,y,z'
'-x,-y,-z'
loop_
_atom_site_label
_atom_site_type_symbol
_atom_site_fract_x
_atom_site_fract_y
_atom_site_fract_z
Tl1 Tl 0.058 0.112 0.313
Cu1 Cu 0.292 0.588 0.937
Te1 Te 0.307 0.618 0.272
Se1 Se 0.500 0.000 0.000
```

Calculated values
volume: 190.2 Å³ per cell
spin magnetization: 0.0000 μB/atom
formation energy (no corrections): -0.17 eV/atom

---

Record 7
Below is an optimized crystal structure of Sm2Sb4Pt3Rh, with properties calculated at the PBE level.

Cell and atoms, written as CIF:
```
data_Sm2Sb4Pt3Rh
_chemical_formula_sum 'Sm2 Sb4 Pt3 Rh1'
_cell_length_a 4.559
_cell_length_b 4.559
_cell_length_c 10.862
_cell_angle_alpha 90.00
_cell_angle_beta 90.00
_cell_angle_gamma 90.00
_space_group_name_H-M_alt 'P -4 m 2'
_space_group_IT_number 115
loop_
_space_group_symop_operation_xyz
'x,y,z'
'y,-x,-z'
'-x,-y,z'
'-y,x,-z'
'-x,y,z'
'-y,-x,-z'
'x,-y,z'
'y,x,-z'
loop_
_atom_site_label
_atom_site_type_symbol
_atom_site_fract_x
_atom_site_fract_y
_atom_site_fract_z
Sm1 Sm 0.000 0.500 0.227
Sb1 Sb 0.000 0.000 0.500
Sb2 Sb 0.000 0.500 0.872
Sb3 Sb 0.500 0.500 0.500
Pt1 Pt 0.000 0.000 0.000
Pt2 Pt 0.000 0.500 0.634
Rh1 Rh 0.500 0.500 0.000
```

Calculated values
volume: 225.7 Å³ per cell
spin magnetization: 0.0000 μB/atom
formation energy (no corrections): -0.77 eV/atom

---

Record 8
Below is an optimized crystal structure of AlIr4, with properties calculated at the PBE level.

Cell and atoms, written as CIF:
```
data_AlIr4
_chemical_formula_sum 'Al2 Ir8'
_cell_length_a 3.610
_cell_length_b 3.610
_cell_length_c 12.647
_cell_angle_alpha 90.00
_cell_angle_beta 90.00
_cell_angle_gamma 90.00
_space_group_name_H-M_alt 'I 4/m m m'
_space_group_IT_number 139
_space_group_name_Hall '-I 4 2'
loop_
_atom_site_label
_atom_site_type_symbol
_atom_site_fract_x
_atom_site_fract_y
_atom_site_fract_z
Al1 Al 0.000 0.000 0.000
Ir1 Ir 0.000 0.000 0.403
Ir2 Ir 0.000 0.500 0.250
```

Calculated values
polymorph energy (0 for the lowest one): 0.504 eV/atom
volume: 164.8 Å³ per cell
spin magnetization: 0.0000 μB/atom
energy relative to the elements: 0.2006 eV per atom

---

Please write out number 5 again, unchanged.
Below is an optimized crystal structure of ScCd2Fe, with properties calculated at the PBE level.

Cell and atoms, written as CIF:
```
data_ScCd2Fe
_chemical_formula_sum 'Sc1 Cd2 Fe1'
_cell_length_a 3.100
_cell_length_b 4.214
_cell_length_c 6.158
_cell_angle_alpha 90.00
_cell_angle_beta 104.48
_cell_angle_gamma 90.00
_space_group_name_H-M_alt 'P 1 m 1'
_space_group_IT_number 6
loop_
_space_group_symop_operation_xyz
'x,y,z'
'x,-y,z'
loop_
_atom_site_label
_atom_site_type_symbol
_atom_site_fract_x
_atom_site_fract_y
_atom_site_fract_z
Sc1 Sc 0.000 0.000 0.000
Cd1 Cd 0.272 0.000 0.543
Cd2 Cd 0.649 0.500 0.299
Fe1 Fe 0.414 0.500 0.828
```

Calculated values
volume: 77.9 Å³ per cell
spin magnetization: 0.4778 μB/atom
energy relative to the elements: 0.0786 eV per atom